A geometry-optimized Li2GePdO4 structure. Source: the Alexandria database, functional PBE.

density of states at the Fermi level = 0.000 states/eV per atom
SG = No. 82
spin magnetization = 0.0 μB per cell
VASP energy = -45.03 eV for the cell shown

Cell lengths 4.8380, 4.8380, 4.8380 Å; angles 109.41, 109.41, 109.60 degrees
Fractional coordinates of all 8 atoms:
Li (0.0000, 0.0000, 0.0000)
Li (0.7500, 0.2500, 0.5000)
Ge (0.2500, 0.7500, 0.5000)
Pd (0.5000, 0.5000, 0.0000)
O (0.2092, 0.7046, 0.8418)
O (0.2954, 0.1372, 0.5045)
O (0.6327, 0.7908, 0.4955)
O (0.8628, 0.3673, 0.1582)